A relaxed SrNiIr crystal. Source: Alexandria via LeMat-Bulk, functional PBE-GGA.

Lattice parameters (Å, degrees): 4.0997 4.0997 4.5521 90.00 90.00 120.00
Closest atoms and distances in Å follow each position.
Positions (direct):
Sr: 0.0000 0.0000 0.0000  6 Ni 3.28, 6 Ir 3.28
Ni: 0.3333 0.6667 0.5000  3 Ir 2.37
Ir: 0.6667 0.3333 0.5000  3 Ni 2.37

SG   P-6m2 (187)
Energy above the lowest structure with this stoichiometry   119 meV per atom
Electronic total energy   -5.4970 eV per atom
Calculated volume   66 Å³ per cell